The following is a DFT calculation (PBE) of a geometry-optimized Rb2PaHg2O6 structure.

Unit cell a=6.597 b=6.597 c=7.195 alpha=62.71 beta=62.71 gamma=60.00
Fractional positions:
Rb1 0.791 0.791 0.628
Rb2 0.209 0.209 0.372
Pa1 0.000 0.000 0.000
Hg1 0.412 0.412 0.765
Hg2 0.588 0.588 0.235
O1 0.779 0.779 0.223
O2 0.220 0.779 0.223
O3 0.779 0.220 0.223
O4 0.221 0.780 0.777
O5 0.780 0.221 0.777
O6 0.221 0.221 0.777

Properties
Space-group type: No. 166
E_form (uncorrected) (eV per atom): -1.5863